Computed, not measured: an optimized crystal structure of CsRb3O2 at the PBE-GGA level of DFT.

The structure in POSCAR format:
```
CsRb3O2
1.0
-4.609 5.228 -0.524
-5.255 -4.515 0.921
0.378 0.999 6.907
Cs Rb O
2 6 4
Direct
0.249 0.249 0.751 Cs
0.751 0.751 0.249 Cs
0.250 0.749 0.750 Rb
0.749 0.250 0.750 Rb
0.250 0.250 0.251 Rb
0.251 0.750 0.250 Rb
0.750 0.251 0.250 Rb
0.750 0.750 0.749 Rb
0.000 0.000 0.000 O
0.500 0.000 0.500 O
0.500 0.500 0.000 O
0.000 0.500 0.500 O
```

Computed properties:
Electronic total energy = -3.17 eV per atom
Magnetic moment = 0.10 μB/f.u.
Energy relative to the elements, uncorrected = -0.89 eV per atom